The following is a GGA+U calculation of crystalline ScFeNO2 at its relaxed geometry, from the Alexandria database.

Summary:
The space group is P4/mmm, No. 123. As for the calculated volume: 71.2 Å³ per cell. As for the density of states at the Fermi level: 2.26 states/eV/f.u. The calculation puts the energy at -6.417 eV/atom.

a = 3.4547 Å, b = 3.4547 Å, c = 5.9634 Å
α = 90.00°, β = 90.00°, γ = 90.00°
Element x y z (fractional)
Sc: 0.0000 0.0000 0.0000
Fe: 0.0000 0.0000 0.5000
N: 0.5000 0.5000 0.0000
O: 0.0000 0.5000 0.5000
O: 0.5000 0.0000 0.5000